This record from Alexandria via LeMat-Bulk describes a relaxed Pm6Ni2AsI3 crystal. The functional is PBE-GGA.

The value obtained for the formation energy (no corrections) is -0.849 eV per atom. The total energy is -59.6 eV per formula unit. As for the theoretical density: 6.7 g/cm³.

Cell lengths 7.3057, 12.6225, 8.1689 Å; angles 90.00, 107.34, 90.00 degrees
Space group C2/m (No. 12)
Symmetry-distinct sites (fractional):
Pm  0.2102  0.0000  0.1865 x4
Pm  0.2391  0.3241  0.1872 x8
Ni  0.0000  0.1671  0.0000 x4
As  0.0000  0.5000  0.0000 x2
I  0.0000  0.0000  0.5000 x2
I  0.0000  0.3383  0.5000 x4